Computed, not measured: AcTb3Nd2Y6 after structural relaxation at the PBE level of DFT.

Computed properties:
electronic total energy	-5.5010	eV per atom
formation energy from the elements	0.03	eV per atom
crystal system	monoclinic
ρ	6.3	g cm⁻³
space-group type	C2/m

abc: 6.287 6.287 11.927
angles: 95.03 95.03 119.98
Element x y z (fractional)
Ac 0.000 0.000 0.000
Tb 0.167 0.833 0.500
Tb 0.500 0.500 0.500
Tb 0.833 0.167 0.500
Nd 0.333 0.667 0.000
Nd 0.667 0.333 0.000
Y 0.085 0.421 0.255
Y 0.250 0.250 0.744
Y 0.421 0.085 0.255
Y 0.579 0.915 0.745
Y 0.750 0.750 0.256
Y 0.915 0.579 0.745